A crystal of MgSnP2O7 relaxed with PBEsol, computed with SCAN.

The space group is P-1 (No. 2) and the conventional cell measures 6.462, 6.615 and 6.626 Å, with angles of 88.87, 87.02 and 66.78 degrees. The asymmetric unit holds Mg at (0.145, 0.305, 0.348), Sn at (0.242, 0.898, 0.856), P at (0.270, 0.756, 0.389), P at (0.311, 0.346, 0.858), O at (0.130, 0.577, 0.841), O at (0.132, 0.615, 0.418), O at (0.133, 0.993, 0.322), O at (0.288, 0.185, 0.706), O at (0.345, 0.255, 0.075), O at (0.405, 0.754, 0.573) and O at (0.449, 0.637, 0.205).

The density of states at the Fermi level is 0.000 states/eV per atom. The value obtained for the total magnetic moment is 0.00 μB per formula unit. The value obtained for the uncorrected formation energy is -2415 meV per atom. The value obtained for the energy relative to the lowest polymorph listed for this composition is 19 meV/atom.